No. 1
Y7Co6Sn23 (PBE, optimized geometry); relative energy among the computed polymorphs = 0.000 eV per atom
1.0
9.7165 0.0000 0.0000
-4.8583 8.4148 0.0000
0.0000 0.0000 9.9291
Sn Y Co
23 7 6
Cartesian
3.1518 7.4295 7.6902
0.0000 5.6098 6.0922
3.1816 1.8369 9.4576
0.0000 3.6738 0.4714
3.1753 5.4998 4.9645
3.3659 0.0000 4.9645
0.0000 1.9705 7.6902
4.8583 4.7410 9.4576
1.6830 2.9150 4.9645
-3.1753 5.4998 4.9645
6.5349 1.8369 9.4576
-1.6830 2.9150 4.9645
-3.1518 7.4295 7.6902
6.3506 0.0000 4.9645
-1.6767 6.5779 0.4714
0.0000 5.6098 3.1676
1.7065 0.9853 2.2389
4.8583 2.8049 6.7615
4.8583 2.8049 3.8369
0.0000 0.0000 0.0000
8.0100 0.9853 2.2389
1.6767 6.5779 0.4714
4.8583 6.4443 2.2389
0.0000 8.0464 8.0109
0.0000 0.0000 4.9645
-2.1102 4.3915 8.0109
2.1102 4.3915 8.0109
4.8583 0.3683 1.9182
6.9684 4.0232 1.9182
2.7481 4.0232 1.9182
2.4116 7.0022 3.0008
-2.4116 7.0022 3.0008
2.4467 1.4126 6.9283
4.8583 5.5896 6.9283
0.0000 2.8252 3.0008
7.2699 1.4126 6.9283

---

No. 2
Hf4Cd (PBE, optimized geometry); ΔE_f = 0.11 eV/atom
1.0
-1.7854 1.9262 -4.8460
-2.4759 -4.6241 -0.9258
-5.1598 1.5732 5.9418
Hf Cd
8 2
Cartesian
-6.0156 -0.4348 0.8360
-3.4055 -0.6899 -0.6660
-5.0872 1.7743 2.6407
-4.8688 -3.4756 0.5434
-3.0801 -0.5045 -3.7585
-6.3410 -0.6202 3.9285
-4.3340 -2.8990 -2.4707
-4.5523 2.3509 -0.3734
0.0000 0.0000 0.0000
-3.8179 -1.5254 2.5080

---

No. 3
NpC (PBE, optimized geometry); relative energy among the computed polymorphs = 0.236 eV per atom
1.0
-2.2577 0.0003 2.2468
2.4771 -1.9888 0.2317
1.5598 2.1255 1.5671
C Np
1 1
Cartesian
0.4905 0.9314 2.7504
1.2888 -0.7944 1.2952

---

No. 4
TbNbTl (PBE, optimized geometry); relative energy among the computed polymorphs = 0.000 eV per atom
1.0
0.0000 3.4475 3.4475
3.4475 0.0000 3.4475
3.4475 3.4475 0.0000
Nb Tl Tb
1 1 1
Cartesian
1.7238 1.7238 1.7238
0.0000 0.0000 0.0000
5.1713 5.1713 5.1713

---

No. 5
TmZrGa2Ni4 (PBE, optimized geometry); VASP energy = -5.749 eV per atom
1.0
4.1169 0.0000 0.0000
-2.0585 3.5654 0.0000
0.0000 0.0000 8.3498
Ga Ni Zr Tm
2 4 1 1
Cartesian
2.0585 1.1885 6.2024
2.0585 1.1885 2.1474
0.0000 2.3769 1.5171
0.0000 2.3769 6.8326
0.0000 0.0000 5.5122
0.0000 0.0000 2.8376
0.0000 2.3769 4.1749
0.0000 0.0000 0.0000

---

No. 6
Nb2CdMo (PBE, optimized geometry); ΔE_f = 0.35 eV/atom
1.0
-2.6397 -3.4899 1.6174
0.4923 -1.4477 4.4074
-3.3511 0.8662 3.1278
Nb Mo Cd
2 1 1
Cartesian
0.0000 0.0000 0.0000
-4.1238 -3.0535 6.8645
-1.3746 -1.0178 2.2882
-2.7492 -2.0357 4.5763

---

No. 7
NbBS (PBE, optimized geometry); VASP energy = -7.891 eV per atom
1.0
2.7785 -1.6041 0.0000
2.7785 1.6041 0.0000
-1.8665 0.0000 10.4406
Nb S B
2 2 2
Cartesian
1.8452 0.0000 3.6204
1.8452 0.0000 6.8202
3.6975 0.0000 1.9686
-0.0070 0.0000 8.4720
3.6975 0.0000 5.2248
-0.0071 0.0000 5.2158

---

No. 8
HoOsNO (PBE, optimized geometry); relative energy among the computed polymorphs = 0.389 eV per atom
1.0
3.2421 0.9316 1.1869
0.3516 -4.5495 2.6103
2.5790 -2.6495 -4.9652
Ho O Os N
2 2 2 2
Cartesian
2.1341 -0.2019 -0.2838
3.8865 -4.0964 -2.0141
4.1389 -6.0690 -1.1553
2.1693 -1.9514 0.9931
1.2059 -3.1653 -0.8097
1.8724 -5.9441 -0.4492
1.1037 -4.5590 0.5636
1.8747 -3.2570 -2.5645

---

No. 9
YHoAl4Pd2 (PBE, optimized geometry); VASP energy = -5.346 eV per atom
1.0
6.9499 0.0000 0.0000
0.0000 2.1453 5.1063
0.0000 -2.1453 5.1063
Al Y Pd Ho
4 1 2 1
Cartesian
4.8454 0.0000 8.7661
5.5845 0.0000 1.4488
2.1045 0.0000 8.7661
1.3655 0.0000 1.4488
3.4750 0.0000 5.8393
0.0000 0.0000 7.2526
3.4750 0.0000 2.9548
0.0000 0.0000 4.3739

---

No. 10
TmHfAl4Ni2 (PBE, optimized geometry); VASP energy = -5.686 eV per atom
1.0
6.6453 0.0000 0.0000
0.0000 2.0327 4.8184
0.0000 -2.0327 4.8184
Ni Tm Al Hf
2 1 4 1
Cartesian
3.3227 0.0000 6.8698
0.0000 0.0000 2.8099
3.3227 0.0000 4.1723
1.9645 0.0000 1.3835
4.6809 0.0000 1.3835
5.3537 0.0000 8.2324
1.2916 0.0000 8.2324
0.0000 0.0000 5.4634

---

No. 11
Zn2CoPt (PBE, optimized geometry); ΔE_f = -0.14 eV/atom
1.0
0.4760 -2.5928 3.3425
1.8190 1.4404 3.5691
-2.3508 0.5862 3.5002
Zn Co Pt
2 1 1
Cartesian
0.0000 0.0000 0.0000
-0.0419 -0.4247 7.8088
-0.0140 -0.1416 2.6030
-0.0279 -0.2831 5.2059

---

No. 12
Dy3Er2Tm2Ni2Te2 (PBE, optimized geometry); relative energy among the computed polymorphs = 0.004 eV per atom
1.0
-1.9170 7.7689 4.7604
1.9170 -7.7689 4.7604
1.9170 7.7689 -4.7604
Dy Tm Ni Te Er
3 2 2 2 2
Cartesian
0.0000 2.0649 2.5109
1.9170 5.7040 -2.2495
0.0000 0.0000 6.4904
1.9170 2.2789 -0.8445
0.0000 5.4900 3.9159
1.9170 4.0928 2.4147
0.0000 3.6761 7.1751
0.0000 0.0000 0.1679
1.9170 0.0000 3.9702
0.0000 10.6495 0.5760
0.0000 4.8883 0.5760

---

No. 13
HoEr2In3AgPd2 (PBE, optimized geometry); VASP energy = -4.589 eV per atom
1.0
3.7618 0.0000 0.0000
0.0000 6.7659 3.9051
0.0000 -6.7659 3.9051
Ho Er Ag In Pd
1 2 1 3 2
Cartesian
1.8809 0.0000 3.1872
1.8809 4.0047 2.3114
1.8809 -4.0047 2.3114
1.8809 0.0000 7.8087
0.0000 0.0000 5.7042
0.0000 4.9398 4.9570
0.0000 -4.9398 4.9570
0.0000 2.2626 3.9067
0.0000 -2.2626 3.9067

---

No. 14
HAuS (PBE, optimized geometry); relative energy among the computed polymorphs = 0.000 eV per atom
1.0
5.1631 0.0000 0.0000
0.0000 3.5750 3.1307
0.0000 -3.5750 3.1307
S H Au
2 2 2
Cartesian
1.5001 1.7875 4.0468
3.6630 -1.7875 4.0468
1.9623 -1.7875 2.2035
3.2008 1.7875 2.2035
0.0000 0.0000 1.0044
0.0000 0.0000 4.1351

---

No. 15
Sm3Si4Ge4 (PBE, optimized geometry); VASP energy = -5.275 eV per atom
1.0
-4.3296 5.0736 5.5215
-1.0802 8.5109 -1.1713
-1.1255 -8.2065 -2.5222
Si Sm Ge
4 3 4
Cartesian
-2.8699 1.6675 -0.6666
-5.3054 7.8289 3.8135
-3.6654 3.7106 2.4947
-1.2299 -2.4509 -1.9854
-3.4530 0.2554 2.0831
-3.0822 5.1227 -0.2550
0.0000 0.0000 0.0000
-1.1521 2.8931 0.9265
-3.6944 6.2240 2.7192
-2.8409 -0.8460 -0.8911
-4.2577 10.6914 3.4238

---

No. 16
Ho3Mg3Cd2Pd (PBE, optimized geometry); VASP energy = -3.188 eV per atom
1.0
7.6619 0.0000 0.0000
-3.8309 6.6354 0.0000
0.0000 0.0000 4.2148
Cd Mg Ho Pd
2 3 3 1
Cartesian
3.8309 2.2118 2.1074
0.0000 4.4236 2.1074
-2.9252 5.0667 2.1074
5.8505 0.0000 2.1074
0.9057 1.5687 2.1074
3.0577 0.0000 0.0000
2.3021 3.9873 0.0000
-1.5289 2.6481 0.0000
0.0000 0.0000 0.0000

---

No. 17
Tb2SmN3 (PBE, optimized geometry); VASP energy = -8.089 eV per atom
1.0
3.5093 0.0000 0.0000
-1.7546 3.0391 0.0000
0.0000 0.0000 8.5913
Sm Tb N
1 2 3
Cartesian
0.0000 0.0000 4.2956
1.7546 1.0130 1.4129
0.0000 2.0261 7.1784
0.0000 2.0261 2.8205
0.0000 0.0000 0.0000
1.7546 1.0130 5.7707

---

No. 18
LaFeSiGe (PBE, optimized geometry); relative energy among the computed polymorphs = 0.140 eV per atom
1.0
4.4655 0.0000 0.0000
0.0000 4.2399 0.0000
-2.1055 0.0000 7.9979
Ge Fe La Si
2 2 2 2
Cartesian
1.3824 3.1799 0.0085
0.9776 1.0600 7.9895
3.6902 3.1799 0.9316
-1.3303 1.0600 7.0663
1.2631 3.1799 5.6388
1.0968 1.0600 2.3592
-1.0229 1.0600 4.7764
3.3829 3.1799 3.2215

---

No. 19
La2SmZn2Si4Au2 (PBE, optimized geometry); relative energy among the computed polymorphs = 0.058 eV per atom
1.0
-0.1594 -12.8146 -0.0567
-5.5596 -11.3235 2.2608
1.6953 12.0893 -3.9009
Au Sm La Si Zn
2 1 2 4 2
Cartesian
-4.2877 -18.0971 1.6525
-1.4313 -6.0410 0.5516
0.0000 0.0000 0.0000
-2.7632 -3.1249 -0.4997
-1.2604 -8.9239 -1.1970
-2.5901 -10.9319 0.9983
-3.6999 -7.0783 -0.1387
-3.1289 -13.2061 1.2059
-0.3238 -4.9705 -1.5580
-4.2562 -9.4262 0.0757
0.2325 -2.6226 -1.7724

---

No. 20
Ag2GeSe3 (PBE, optimized geometry); VASP energy = -3.655 eV per atom
1.0
6.2794 -3.6966 0.0000
6.2794 3.6966 0.0000
0.0000 0.0000 6.8917
Ag Ge Se
4 2 6
Cartesian
10.5863 1.1000 3.3797
1.9725 -1.1000 6.8255
1.9725 1.1000 3.3797
10.5863 -1.1000 6.8255
6.2794 -1.1845 6.6245
6.2794 1.1845 3.1787
4.2700 2.2800 2.5671
8.2888 -2.2800 6.0129
6.2794 1.1205 5.7198
8.2888 2.2800 2.5671
4.2700 -2.2800 6.0129
6.2794 -1.1205 2.2740